VASP calculation (PBE) on LaTm3Ru after structural relaxation.

a b c (Å): 5.3558 5.3558 5.3558
angles (deg): 90.00 90.00 90.00
Space group Pm-3m (No. 221)
Asymmetric unit:
La1 0.0000 0.0000 0.0000 (multiplicity 1)
Tm1 0.0000 0.5000 0.5000 (multiplicity 3)
Ru1 0.5000 0.5000 0.5000 (multiplicity 1)

Results
**Crystal system**: cubic
**E_tot**: -28.375 eV for the cell shown
**Spin magnetization**: 0.00 μB per cell

***

VASP calculation (PBE) on RbNa2Cd2 after structural relaxation.

a b c (Å): 9.7607 9.7607 3.5482
angles (deg): 90.00 90.00 90.00
Space group P4/mbm (No. 127)
Asymmetric unit:
Rb1 0.0000 0.0000 0.0000 (multiplicity 2)
Na1 0.1239 0.3761 0.0000 (multiplicity 4)
Cd1 0.1684 0.6684 0.5000 (multiplicity 4)

Results
**Offset from the most stable computed form**: 0.09 eV/f.u.
**Crystal system**: tetragonal
**E_tot**: -11.057 eV for the cell shown
**Spin magnetization**: 0.00 μB per cell

***

VASP calculation (PBE) on SrPW2 after structural relaxation.

a b c (Å): 3.4105 4.4334 5.1163
angles (deg): 90.00 90.00 90.00
Space group Pmmm (No. 47)
Asymmetric unit:
Sr1 0.0000 0.0000 0.0000 (multiplicity 1)
P1 0.5000 0.5000 0.0000 (multiplicity 1)
W1 0.0000 0.5000 0.5000 (multiplicity 1)
W2 0.5000 0.0000 0.5000 (multiplicity 1)

Results
**Crystal system**: orthorhombic
**E_tot**: -29.121 eV for the cell shown
**Spin magnetization**: 0.00 μB per cell

***

- spin magnetization of number 3 (SrPW2)?
  0.00 μB per cell